1.
The following is a DFT calculation (PBE-GGA) of crystalline Ac6NdSm12 at its relaxed geometry.

Cell: 13.9362 13.9362 13.2015 Å, 90.00 90.00 120.00°
Space group R-3m (No. 166, hexagonal axes)
Unique sites:
Ac 0.0389 0.5195 0.1248 [18 per cell]
Nd 0.0000 0.0000 0.5000 [3 per cell]
Sm 0.0000 0.2517 0.0000 [18 per cell]
Sm 0.0937 0.1873 0.7625 [18 per cell]

ΔH_f (0 K): 250 meV/atom
DOS at the Fermi energy: 36.0 states/eV/f.u.
Electronic total energy: -4.279 eV/atom

***

2.
The following is a DFT calculation (PBE-GGA) of crystalline Ca2AlOs at its relaxed geometry.

Cell: 3.3847 3.3847 8.4097 Å, 90.00 90.00 90.00°
Space group P4mm (No. 99)
Unique sites:
Ca 0.0000 0.0000 0.0000 [1 per cell]
Ca 0.5000 0.5000 0.4008 [1 per cell]
Al 0.5000 0.5000 0.7500 [1 per cell]
Os 0.0000 0.0000 0.6408 [1 per cell]

ΔH_f (0 K): -61 meV/atom
DOS at the Fermi energy: 2.7 states/eV/f.u.
Electronic total energy: -4.805 eV/atom

***

3.
The following is a DFT calculation (PBE-GGA) of crystalline Na2Pa2MnS6 at its relaxed geometry.

Cell: 6.4870 10.9229 7.3107 Å, 90.00 106.94 90.00°
Space group C2/m (No. 12)
Unique sites:
Na 0.0000 0.1736 0.0000 [4 per cell]
Pa 0.0000 0.3397 0.5000 [4 per cell]
Mn 0.0000 0.0000 0.5000 [2 per cell]
S 0.2167 0.0000 0.2788 [4 per cell]
S 0.2227 0.1530 0.7119 [8 per cell]

DOS at the Fermi energy: 4.3 states/eV/f.u.
Electronic total energy: -6.278 eV/atom
Uncorrected formation energy: -1.2268 eV/atom

***

4.
The following is a DFT calculation (PBE-GGA) of crystalline Ba3PrAl8 at its relaxed geometry.

Cell: 5.9532 5.9532 29.0956 Å, 90.00 90.00 120.00°
Space group R3m (No. 160, hexagonal axes)
Unique sites:
Ba 0.0000 0.0000 0.0000 [3 per cell]
Ba 0.0000 0.0000 0.1231 [3 per cell]
Ba 0.0000 0.0000 0.4980 [3 per cell]
Pr 0.0000 0.0000 0.6230 [3 per cell]
Al 0.0000 0.0000 0.3113 [3 per cell]
Al 0.0000 0.0000 0.8103 [3 per cell]
Al 0.0009 0.5004 0.5636 [9 per cell]
Al 0.1688 0.3376 0.3918 [9 per cell]

ΔH_f (0 K): -245 meV/atom
DOS at the Fermi energy: 7.1 states/eV/f.u.
Electronic total energy: -3.619 eV/atom

***

5.
The following is a DFT calculation (PBE-GGA) of crystalline Dy2Y2Ga4Sn at its relaxed geometry.

Cell: 7.1021 7.1021 9.1903 Å, 90.00 90.00 90.00°
Space group I4/mmm (No. 139)
Unique sites:
Dy 0.0000 0.0000 0.1888 [4 per cell]
Y 0.0000 0.5000 0.2500 [4 per cell]
Ga 0.2353 0.2353 0.0000 [8 per cell]
Sn 0.0000 0.0000 0.5000 [2 per cell]

ΔH_f (0 K): -187 meV/atom
DOS at the Fermi energy: 6.3 states/eV/f.u.
Electronic total energy: -4.436 eV/atom

***

6.
The following is a DFT calculation (PBE-GGA) of crystalline AlAg2SnSe4 at its relaxed geometry.

Cell: 6.1404 6.1404 11.9282 Å, 90.00 90.00 90.00°
Space group I-4 (No. 82)
Unique sites:
Al 0.0000 0.0000 0.0000 [2 per cell]
Ag 0.0000 0.0000 0.5000 [2 per cell]
Ag 0.0000 0.5000 0.2500 [2 per cell]
Sn 0.0000 0.5000 0.7500 [2 per cell]
Se 0.2246 0.7611 0.1143 [8 per cell]

DOS at the Fermi energy: 4.8 states/eV/f.u.
Electronic total energy: -3.823 eV/atom
Uncorrected formation energy: -0.3996 eV/atom

***

7.
The following is a DFT calculation (PBE-GGA) of crystalline NpPd15Pb4 at its relaxed geometry.

Cell: 4.1109 4.1109 20.6365 Å, 90.00 90.00 90.00°
Space group P4/mmm (No. 123)
Unique sites:
Np 0.0000 0.0000 0.0000 [1 per cell]
Pd 0.0000 0.5000 0.0987 [4 per cell]
Pd 0.0000 0.5000 0.3008 [4 per cell]
Pd 0.0000 0.5000 0.5000 [2 per cell]
Pd 0.5000 0.5000 0.0000 [1 per cell]
Pd 0.5000 0.5000 0.2007 [2 per cell]
Pd 0.5000 0.5000 0.4002 [2 per cell]
Pb 0.0000 0.0000 0.2022 [2 per cell]
Pb 0.0000 0.0000 0.4009 [2 per cell]

ΔH_f (0 K): -321 meV/atom
DOS at the Fermi energy: 14.5 states/eV/f.u.
Electronic total energy: -5.604 eV/atom

***

8.
The following is a DFT calculation (PBE-GGA) of crystalline Ac2TmHg4 at its relaxed geometry.

Cell: 5.0348 5.0348 31.4887 Å, 90.00 90.00 120.00°
Space group R-3m (No. 166, hexagonal axes)
Unique sites:
Ac 0.0000 0.0000 0.2468 [6 per cell]
Tm 0.0000 0.0000 0.0000 [3 per cell]
Hg 0.0000 0.0000 0.1404 [6 per cell]
Hg 0.0000 0.0000 0.3624 [6 per cell]

ΔH_f (0 K): -363 meV/atom
DOS at the Fermi energy: 5.8 states/eV/f.u.
Electronic total energy: -2.348 eV/atom